1.
! SbIrPt4 PBE-GGA relaxed; values from VASP
&SYSTEM
  ibrav = 0, nat = 6, ntyp = 3
/
ATOMIC_SPECIES
Sb 121.76 Sb.upf
Ir 192.22 Ir.upf
Pt 195.08 Pt.upf
CELL_PARAMETERS angstrom
0.0000 3.7515 3.7515
3.7515 0.0000 3.7515
3.7515 3.7515 0.0000
ATOMIC_POSITIONS crystal
Sb 0.0000 0.0000 0.0000
Ir 0.7500 0.7500 0.7500
Pt 0.3758 0.3758 0.3758
Pt 0.3758 0.3758 0.8726
Pt 0.3758 0.8726 0.3758
Pt 0.8726 0.3758 0.3758
! DOS(E_F): 0.95 states/eV per atom
! Formation energy without anion corrections: 330.1 meV per atom
! Electronic total energy: -35.2 eV for the cell shown
! Space group: No. 216



2.
! TeIBrO2 PBE-GGA relaxed; values from VASP
&SYSTEM
  ibrav = 0, nat = 5, ntyp = 4
/
ATOMIC_SPECIES
Te 127.60 Te.upf
I 126.90 I.upf
Br 79.90 Br.upf
O 16.00 O.upf
CELL_PARAMETERS angstrom
4.1427 0.0000 0.0000
0.0000 4.1427 0.0000
0.0000 0.0000 6.9435
ATOMIC_POSITIONS crystal
Te 0.0000 0.0000 0.0000
I 0.0000 0.0000 0.5000
Br 0.5000 0.5000 0.5000
O 0.0000 0.5000 0.0000
O 0.5000 0.0000 0.0000
! Relative energy among the computed polymorphs: 0 meV per atom
! DOS(E_F): 0.54 states/eV per atom
! Formation energy without anion corrections: -176.6 meV per atom
! Electronic total energy: -17.2 eV for the cell shown
! Space group: No. 123



3.
! B5C PBE-GGA relaxed; values from VASP
&SYSTEM
  ibrav = 0, nat = 12, ntyp = 2
/
ATOMIC_SPECIES
B 10.81 B.upf
C 12.01 C.upf
CELL_PARAMETERS angstrom
5.4640 0.0000 0.0000
0.0000 2.3504 0.0000
-2.5304 0.0000 6.3889
ATOMIC_POSITIONS crystal
B 0.0606 0.2500 0.1756
B 0.0820 0.2500 0.4403
B 0.2295 0.7500 0.0837
B 0.2481 0.7500 0.8342
B 0.4357 0.2500 0.7645
B 0.5643 0.7500 0.2355
B 0.7519 0.2500 0.1658
B 0.7705 0.2500 0.9163
B 0.9180 0.7500 0.5597
B 0.9394 0.7500 0.8244
C 0.4398 0.2500 0.5284
C 0.5602 0.7500 0.4716
! Relative energy among the computed polymorphs: 224 meV per atom
! DOS(E_F): 0.17 states/eV per atom
! Electronic total energy: -80.2 eV for the cell shown
! ΔE_f: 0.42 eV per atom
! Space group: No. 11



Q: The highest DOS(E_F) belongs to which entry?
A: SbIrPt4



Please write out number 1 again, unchanged.
! SbIrPt4 PBE-GGA relaxed; values from VASP
&SYSTEM
  ibrav = 0, nat = 6, ntyp = 3
/
ATOMIC_SPECIES
Sb 121.76 Sb.upf
Ir 192.22 Ir.upf
Pt 195.08 Pt.upf
CELL_PARAMETERS angstrom
0.0000 3.7515 3.7515
3.7515 0.0000 3.7515
3.7515 3.7515 0.0000
ATOMIC_POSITIONS crystal
Sb 0.0000 0.0000 0.0000
Ir 0.7500 0.7500 0.7500
Pt 0.3758 0.3758 0.3758
Pt 0.3758 0.3758 0.8726
Pt 0.3758 0.8726 0.3758
Pt 0.8726 0.3758 0.3758
! DOS(E_F): 0.95 states/eV per atom
! Formation energy without anion corrections: 330.1 meV per atom
! Electronic total energy: -35.2 eV for the cell shown
! Space group: No. 216



Q: Among the records above, which one has the highest electronic total energy?
A: TeIBrO2